Run one
A plane-wave DFT calculation with GGA-PBE was carried out for a relaxed SrYCl crystal.

## Properties
total magnetization	0.0	μB/f.u.
V	385.2	Å³ per cell

Unit cell a=3.942 b=6.394 c=15.281 alpha=90.00 beta=90.00 gamma=90.00
Space group Fmm2 (No. 42)
One atom of each set of equivalent atoms:
Sr 0.000 0.000 0.000 (multiplicity 4)
Y 0.000 0.000 0.302 (multiplicity 4)
Cl 0.000 0.000 0.658 (multiplicity 4)

Run two
A plane-wave DFT calculation with GGA-PBE was carried out for a relaxed SrYCl crystal.

## Properties
total magnetization	0.0	μB/f.u.
V	185.2	Å³ per cell

Unit cell a=3.586 b=3.586 c=14.398 alpha=90.00 beta=90.00 gamma=90.00
Space group I4mm (No. 107)
One atom of each set of equivalent atoms:
Sr 0.000 0.000 0.000 (multiplicity 2)
Y 0.000 0.000 0.697 (multiplicity 2)
Cl 0.000 0.000 0.344 (multiplicity 2)

Which is the most stable structure? run one is the most stable.

Run one
A plane-wave DFT calculation with GGA-PBE was carried out for a relaxed SrYCl crystal.

## Properties
total magnetization	0.0	μB/f.u.
V	93.9	Å³ per cell

Unit cell a=3.8510 b=3.8510 c=7.3142 alpha=90.00 beta=90.00 gamma=120.00
Space group P3m1 (No. 156)
One atom of each set of equivalent atoms:
Sr 0.0000 0.0000 0.0000 (multiplicity 1)
Y 0.6667 0.3333 0.4105 (multiplicity 1)
Cl 0.3333 0.6667 0.6873 (multiplicity 1)

Run two
A plane-wave DFT calculation with GGA-PBE was carried out for a relaxed SrYCl crystal.

## Properties
total magnetization	2.0	μB/f.u.
V	385.1	Å³ per cell

Unit cell a=7.275 b=7.275 c=7.275 alpha=90.00 beta=90.00 gamma=90.00
Space group F-43m (No. 216)
One atom of each set of equivalent atoms:
Sr 0.000 0.000 0.000 (multiplicity 4)
Y 0.000 0.000 0.500 (multiplicity 4)
Cl 0.250 0.250 0.750 (multiplicity 4)

Which is the most stable structure? run one is the most stable.

Run one
A plane-wave DFT calculation with GGA-PBE was carried out for a relaxed SrYCl3 crystal.

## Properties
total magnetization	0.0	μB/f.u.
V	155.0	Å³ per cell

Unit cell a=5.372 b=5.372 c=5.372 alpha=90.00 beta=90.00 gamma=90.00
Space group Pm-3m (No. 221)
One atom of each set of equivalent atoms:
Sr 0.000 0.000 0.000 (multiplicity 1)
Y 0.500 0.500 0.500 (multiplicity 1)
Cl 0.000 0.500 0.500 (multiplicity 3)

Run two
A plane-wave DFT calculation with GGA-PBE was carried out for a relaxed SrYCl3 crystal.

## Properties
total magnetization	1.8	μB/f.u.
V	177.5	Å³ per cell

Unit cell a=5.620 b=5.620 c=5.620 alpha=90.00 beta=90.00 gamma=90.00
Space group Pm-3m (No. 221)
One atom of each set of equivalent atoms:
Sr 0.000 0.000 0.000 (multiplicity 1)
Y 0.500 0.500 0.500 (multiplicity 1)
Cl 0.000 0.000 0.500 (multiplicity 3)

Which is the most stable structure? run one is the most stable.

Run one
A plane-wave DFT calculation with GGA-PBE was carried out for a relaxed Sr2Y2Cl crystal.

## Properties
total magnetization	1.0	μB/f.u.
V	395.5	Å³ per cell

Unit cell a=4.500 b=4.500 c=19.530 alpha=90.00 beta=90.00 gamma=90.00
Space group I4/mmm (No. 139)
One atom of each set of equivalent atoms:
Sr 0.000 0.500 0.250 (multiplicity 4)
Y 0.000 0.000 0.091 (multiplicity 4)
Cl 0.000 0.000 0.500 (multiplicity 2)

Run two
A plane-wave DFT calculation with GGA-PBE was carried out for a relaxed Sr2Y2Cl crystal.

## Properties
total magnetization	0.0	μB/f.u.
V	383.0	Å³ per cell

Unit cell a=7.568 b=7.568 c=6.686 alpha=90.00 beta=90.00 gamma=90.00
Space group P4/mbm (No. 127)
One atom of each set of equivalent atoms:
Sr 0.165 0.335 0.000 (multiplicity 4)
Y 0.159 0.659 0.500 (multiplicity 4)
Cl 0.000 0.000 0.500 (multiplicity 2)

Which is the most stable structure? run two is the most stable.

Run one
A plane-wave DFT calculation with GGA-PBE was carried out for a relaxed Sr3YCl crystal.

## Properties
total magnetization	4.3	μB/f.u.
V	297.2	Å³ per cell

Unit cell a=6.673 b=6.673 c=6.673 alpha=90.00 beta=90.00 gamma=90.00
Space group Pm-3m (No. 221)
One atom of each set of equivalent atoms:
Sr 0.000 0.000 0.500 (multiplicity 3)
Y 0.000 0.000 0.000 (multiplicity 1)
Cl 0.500 0.500 0.500 (multiplicity 1)

Run two
A plane-wave DFT calculation with GGA-PBE was carried out for a relaxed Sr3YCl crystal.

## Properties
total magnetization	1.7	μB/f.u.
V	208.8	Å³ per cell

Unit cell a=5.932 b=5.932 c=5.932 alpha=90.00 beta=90.00 gamma=90.00
Space group Pm-3m (No. 221)
One atom of each set of equivalent atoms:
Sr 0.000 0.000 0.500 (multiplicity 3)
Y 0.500 0.500 0.500 (multiplicity 1)
Cl 0.000 0.000 0.000 (multiplicity 1)

Which is the most stable structure? run two is the most stable.

Run one
A plane-wave DFT calculation with GGA-PBE was carried out for a relaxed SrZnCl2 crystal.

## Properties
total magnetization	0.0	μB/f.u.
V	331.3	Å³ per cell

Unit cell a=7.681 b=4.431 c=10.045 alpha=90.00 beta=104.32 gamma=90.00
Space group C2/m (No. 12)
One atom of each set of equivalent atoms:
Sr 0.000 0.000 0.000 (multiplicity 2)
Zn 0.000 0.500 0.500 (multiplicity 2)
Cl 0.214 0.500 0.145 (multiplicity 4)

Run two
A plane-wave DFT calculation with GGA-PBE was carried out for a relaxed SrZnCl2 crystal.

## Properties
total magnetization	0.0	μB/f.u.
V	101.3	Å³ per cell

Unit cell a=4.957 b=4.957 c=4.123 alpha=90.00 beta=90.00 gamma=90.00
Space group P4/mmm (No. 123)
One atom of each set of equivalent atoms:
Sr 0.000 0.000 0.000 (multiplicity 1)
Zn 0.500 0.500 0.000 (multiplicity 1)
Cl 0.000 0.500 0.500 (multiplicity 2)

Which is the most stable structure? run one is the most stable.